FeReRu2O: optimized geometry, PBE with a Hubbard U.

M_tot = 0.82 μB/atom
Raw total energy = -7.877 eV per atom
Density = 11.57 Mg/m³

a b c (Å): 4.0236 4.0236 4.0783
angles (deg): 90.00 90.00 90.00
Element x y z (fractional)
Fe 0.0000 0.0000 0.0000
Re 0.5000 0.5000 0.0000
Ru 0.0000 0.5000 0.5000
Ru 0.5000 0.0000 0.5000
O 0.0000 0.0000 0.5000